## YTeP2 (PBE)

Data for a geometry-optimized YTeP2 structure.

```
YTeP2
1.0
1.997 1.153 7.094
-1.997 1.153 7.094
0.000 -2.306 7.094
Y Te P
1 1 2
direct
0.000 0.000 0.000
0.758 0.758 0.758
0.251 0.251 0.251
0.551 0.551 0.551
```

Results
The total DFT energy (no corrections) comes out at -22.4 eV per formula unit. For the formation energy (no corrections), the calculation gives -0.485 eV/atom. As for the size of the total moment: 0.0 μB/f.u. For the density of states at the Fermi level, the calculation gives 0.49 states/eV/atom.



## Sn5AsSe4 (PBE)

Data for a geometry-optimized Sn5AsSe4 structure.

```
Sn5AsSe4
1.0
-4.756 4.756 2.981
4.756 -4.756 2.981
4.756 4.756 -2.981
Sn As Se
5 1 4
direct
0.000 0.000 0.000
0.210 0.598 0.808
0.402 0.210 0.611
0.598 0.790 0.389
0.790 0.402 0.192
0.500 0.500 0.000
0.102 0.298 0.400
0.298 0.898 0.196
0.702 0.102 0.804
0.898 0.702 0.600
```

Results
The total DFT energy (no corrections) comes out at -42.0 eV per formula unit. For the formation energy (no corrections), the calculation gives -0.339 eV/atom. As for the size of the total moment: 0.0 μB/f.u. For the density of states at the Fermi level, the calculation gives 0.43 states/eV/atom.



## Ta2AgW (PBE)

Data for a geometry-optimized Ta2AgW structure.

```
Ta2AgW
1.0
1.423 0.822 10.114
-1.423 0.822 10.114
0.000 -1.643 10.114
Ta Ag W
2 1 1
direct
0.000 0.000 0.000
0.247 0.247 0.247
0.750 0.750 0.750
0.498 0.498 0.498
```

Results
The total DFT energy (no corrections) comes out at -37.9 eV per formula unit. The calculation puts the energy above the most stable polymorph in this dataset at 0.2881 eV/atom. Its formation enthalpy at 0 K is 1.57 eV/f.u. As for the size of the total moment: 0.0 μB/f.u. For the density of states at the Fermi level, the calculation gives 0.79 states/eV/atom.



## Ba2ZrMn (PBE)

Data for a geometry-optimized Ba2ZrMn structure.

```
Ba2ZrMn
1.0
-2.835 2.835 4.051
2.835 -2.835 4.051
2.835 2.835 -4.051
Ba Zr Mn
2 1 1
direct
0.000 0.000 0.000
0.750 0.250 0.500
0.500 0.500 0.000
0.250 0.750 0.500
```

Results
The total DFT energy (no corrections) comes out at -18.4 eV per formula unit. The calculation puts the energy above the most stable polymorph in this dataset at 0.4052 eV/atom. Its formation enthalpy at 0 K is 3.18 eV/f.u. As for the size of the total moment: 2.0 μB/f.u. For the density of states at the Fermi level, the calculation gives 1.80 states/eV/atom.



## La2ReIr (PBE)

Data for a geometry-optimized La2ReIr structure.

```
La2ReIr
1.0
0.000 3.485 3.485
3.485 0.000 3.485
3.485 3.485 0.000
La Re Ir
2 1 1
direct
0.000 0.000 0.000
0.250 0.250 0.250
0.500 0.500 0.500
0.750 0.750 0.750
```

Results
The total DFT energy (no corrections) comes out at -30.1 eV per formula unit. The calculation puts the energy above the most stable polymorph in this dataset at 0.4280 eV/atom. Its formation enthalpy at 0 K is 1.09 eV/f.u. As for the size of the total moment: 0.0 μB/f.u. For the density of states at the Fermi level, the calculation gives 1.79 states/eV/atom.



## TaRe2Hg (PBE)

Data for a geometry-optimized TaRe2Hg structure.

```
TaRe2Hg
1.0
2.949 0.000 0.000
0.000 2.949 0.000
0.000 0.000 8.042
Ta Re Hg
1 2 1
direct
0.000 0.000 0.000
0.000 0.000 0.557
0.500 0.500 0.747
0.500 0.500 0.278
```

Results
The total DFT energy (no corrections) comes out at -36.0 eV per formula unit. Its formation enthalpy at 0 K is 1.06 eV/f.u. As for the size of the total moment: 0.0 μB/f.u. For the density of states at the Fermi level, the calculation gives 0.56 states/eV/atom.



## MgNi6C (PBE)

Data for a geometry-optimized MgNi6C structure.

```
MgNi6C
1.0
2.515 1.452 4.395
-2.515 1.452 4.395
0.000 -2.904 4.395
Mg Ni C
1 6 1
direct
0.000 0.000 0.000
0.071 0.596 0.596
0.404 0.404 0.929
0.404 0.929 0.404
0.596 0.071 0.596
0.596 0.596 0.071
0.929 0.404 0.404
0.500 0.500 0.500
```

Results
The total DFT energy (no corrections) comes out at -44.8 eV per formula unit. Its formation enthalpy at 0 K is 0.71 eV/f.u. As for the size of the total moment: 0.0 μB/f.u. For the density of states at the Fermi level, the calculation gives 1.09 states/eV/atom.



## Al3Pd (PBE)

Data for a geometry-optimized Al3Pd structure.

```
Al3Pd
1.0
3.959 0.000 0.000
0.000 3.959 0.000
0.000 0.000 3.959
Al Pd
3 1
direct
0.000 0.000 0.500
0.000 0.500 0.000
0.500 0.000 0.000
0.500 0.500 0.500
```

Results
The total DFT energy (no corrections) comes out at -17.8 eV per formula unit. Its formation enthalpy at 0 K is -1.41 eV/f.u. As for the size of the total moment: 0.0 μB/f.u. For the density of states at the Fermi level, the calculation gives 0.47 states/eV/atom.



## ZnBi2Pd (PBE)

Data for a geometry-optimized ZnBi2Pd structure.

```
ZnBi2Pd
1.0
1.693 0.977 10.138
-1.693 0.977 10.138
0.000 -1.955 10.138
Zn Bi Pd
1 2 1
direct
0.000 0.000 0.000
0.411 0.411 0.411
0.589 0.589 0.589
0.500 0.500 0.500
```

Results
The total DFT energy (no corrections) comes out at -13.2 eV per formula unit. Its formation enthalpy at 0 K is 1.06 eV/f.u. As for the size of the total moment: 0.0 μB/f.u. For the density of states at the Fermi level, the calculation gives 0.53 states/eV/atom.



## Li2Si3NiPt4 (PBE)

Data for a geometry-optimized Li2Si3NiPt4 structure.

```
Li2Si3NiPt4
1.0
3.925 0.000 0.000
0.000 3.925 0.000
0.000 0.000 10.504
Li Si Ni Pt
2 3 1 4
direct
0.000 0.500 0.229
0.500 0.000 0.771
0.000 0.000 0.000
0.000 0.500 0.639
0.500 0.000 0.361
0.500 0.500 0.000
0.000 0.000 0.500
0.000 0.500 0.856
0.500 0.000 0.144
0.500 0.500 0.500
```

Results
The total DFT energy (no corrections) comes out at -56.1 eV per formula unit. For the formation energy (no corrections), the calculation gives -0.602 eV/atom. As for the size of the total moment: 0.0 μB/f.u. For the density of states at the Fermi level, the calculation gives 0.29 states/eV/atom.



## Na3NpPb2S6 (PBE)

Data for a geometry-optimized Na3NpPb2S6 structure.

```
Na3NpPb2S6
1.0
3.602 -6.239 0.000
3.602 6.239 0.000
-2.439 0.000 6.577
Na Np Pb S
3 1 2 6
direct
0.000 0.000 0.000
0.329 0.671 0.000
0.671 0.329 0.000
0.500 0.500 0.500
0.166 0.834 0.500
0.834 0.166 0.500
0.121 0.422 0.266
0.278 0.278 0.727
0.422 0.121 0.266
0.578 0.879 0.734
0.722 0.722 0.273
0.879 0.578 0.734
```

Results
The total DFT energy (no corrections) comes out at -61.1 eV per formula unit. For the formation energy (no corrections), the calculation gives -1.002 eV/atom. As for the size of the total moment: 2.0 μB/f.u. For the density of states at the Fermi level, the calculation gives 0.60 states/eV/atom.



## YZn2SiRu2 (PBE)

Data for a geometry-optimized YZn2SiRu2 structure.

```
YZn2SiRu2
1.0
4.441 0.000 0.000
0.000 4.441 0.000
0.000 0.000 5.556
Y Zn Si Ru
1 2 1 2
direct
0.000 0.000 0.000
0.500 0.500 0.232
0.500 0.500 0.768
0.000 0.000 0.500
0.000 0.500 0.500
0.500 0.000 0.500
```

Results
The total DFT energy (no corrections) comes out at -34.4 eV per formula unit. For the formation energy (no corrections), the calculation gives -0.240 eV/atom. As for the size of the total moment: 0.0 μB/f.u. For the density of states at the Fermi level, the calculation gives 0.46 states/eV/atom.